i:
# Al2RuI2

An optimized crystal structure of Al2RuI2 (PBE, the Alexandria database).

Calculated values
Density (kg/m3): 5852

abc: 6.9321 6.9321 4.8284
angles: 90.00 90.00 90.00
Atoms (fractional coordinates):
Al 0.8496 0.6504 0.0000
Ru 0.0000 0.0000 0.0000
I 0.6898 0.8102 0.5000
Ru 0.5000 0.5000 0.0000
Al 0.1504 0.3496 0.0000
I 0.3102 0.1898 0.5000
Al 0.3496 0.8496 0.0000
I 0.1898 0.6898 0.5000
Al 0.6504 0.1504 0.0000
I 0.8102 0.3102 0.5000

***

ii:
# Al2RuI2

An optimized crystal structure of Al2RuI2 (PBE, the Alexandria database).

Calculated values
Density (kg/m3): 5188

abc: 5.8697 5.8697 5.6262
angles: 58.56 58.56 90.00
Site moments in Bohr magnetons follow the coordinates.
Atoms (fractional coordinates):
I 0.7500 0.2500 0.5000  0.03
Al 0.6727 0.6727 0.6545  0.00
Al 0.3273 0.3273 0.3455  0.00
Ru 0.0000 0.0000 0.0000  1.45
I 0.2500 0.7500 0.5000  0.03

***

Most stable: i. Least stable: ii.

***

i:
# AlSb2RuI

An optimized crystal structure of AlSb2RuI (PBE, the Alexandria database).

Calculated values
Density (kg/m3): 5629

abc: 5.2399 5.2399 5.3552
angles: 90.00 90.00 90.00
Site moments in Bohr magnetons follow the coordinates.
Atoms (fractional coordinates):
I 0.0000 0.0000 0.5000  0.01
Ru 0.5000 0.5000 0.5000  2.24
Sb 0.5000 0.0000 0.0000  -0.07
Al 0.0000 0.0000 0.0000  0.00
Sb 0.0000 0.5000 0.0000  -0.07

***

ii:
# AlSb2RuI

An optimized crystal structure of AlSb2RuI (PBE, the Alexandria database).

Calculated values
Density (kg/m3): 5500

abc: 5.0542 5.0542 5.8919
angles: 90.00 90.00 90.00
Atoms (fractional coordinates):
Sb 0.5000 0.0000 0.0000
Ru 0.0000 0.0000 0.0000
Sb 0.0000 0.5000 0.0000
I 0.0000 0.0000 0.5000
Al 0.5000 0.5000 0.5000

***

Most stable: ii. Least stable: i.

***

i:
# AlTeRuI2

An optimized crystal structure of AlTeRuI2 (PBE, the Alexandria database).

Calculated values
Density (kg/m3): 5183

abc: 5.4679 5.4679 5.4589
angles: 90.00 90.00 90.00
Site moments in Bohr magnetons follow the coordinates.
Atoms (fractional coordinates):
I 0.5000 0.0000 0.0000  0.08
Te 0.0000 0.0000 0.5000  0.13
I 0.0000 0.5000 0.0000  0.08
Ru 0.5000 0.5000 0.5000  2.79
Al 0.0000 0.0000 0.0000  0.01

***

ii:
# AlTeRuI2

An optimized crystal structure of AlTeRuI2 (PBE, the Alexandria database).

Calculated values
Density (kg/m3): 5262

abc: 5.6724 5.6724 4.9966
angles: 90.00 90.00 90.00
Atoms (fractional coordinates):
Al 0.5000 0.5000 0.5000
I 0.5000 0.0000 0.0000
Ru 0.0000 0.0000 0.0000
I 0.0000 0.5000 0.0000
Te 0.0000 0.0000 0.5000

***

Most stable: ii. Least stable: i.

***

i:
# AlRuWI2

An optimized crystal structure of AlRuWI2 (PBE, the Alexandria database).

Calculated values
Density (kg/m3): 6395

abc: 5.5244 5.5244 4.8132
angles: 90.00 90.00 90.00
Site moments in Bohr magnetons follow the coordinates.
Atoms (fractional coordinates):
Al 0.5000 0.5000 0.5000  0.02
W 0.0000 0.0000 0.5000  2.28
I 0.5000 0.0000 0.0000  0.04
I 0.0000 0.5000 0.0000  0.04
Ru 0.0000 0.0000 0.0000  -0.15

***

ii:
# AlRuWI2

An optimized crystal structure of AlRuWI2 (PBE, the Alexandria database).

Calculated values
Density (kg/m3): 6916

abc: 5.4091 4.6422 5.4091
angles: 90.00 90.00 90.00
Site moments in Bohr magnetons follow the coordinates.
Atoms (fractional coordinates):
I 0.0000 0.0000 0.5000  0.01
Ru 0.0000 0.0000 0.0000  -0.09
I 0.5000 0.0000 0.0000  -0.03
W 0.5000 0.5000 0.5000  3.35
Al 0.0000 0.5000 0.0000  0.01

***

Most stable: i. Least stable: ii.

***

i:
# Al2SI

An optimized crystal structure of Al2SI (PBE, the Alexandria database).

Calculated values
Density (kg/m3): 3449

abc: 7.3790 7.3790 6.4345
angles: 55.01 55.01 90.00
Atoms (fractional coordinates):
S 0.5000 0.5000 0.0000
Al 0.1834 0.6250 0.2500
I 0.0000 0.0000 0.0000
Al 0.3750 0.4334 0.7500
Al 0.5666 0.1250 0.2500
S 0.2500 0.7500 0.5000
I 0.7500 0.2500 0.5000
Al 0.8750 0.8166 0.7500

***

ii:
# Al2SI

An optimized crystal structure of Al2SI (PBE, the Alexandria database).

Calculated values
Density (kg/m3): 4065

abc: 4.9734 4.9734 4.9734
angles: 60.00 60.00 60.00
Atoms (fractional coordinates):
Al 0.2500 0.2500 0.2500
S 0.0000 0.0000 0.0000
Al 0.7500 0.7500 0.7500
I 0.5000 0.5000 0.5000

***

Most stable: i. Least stable: ii.

***

i:
# AlS3I

An optimized crystal structure of AlS3I (PBE, the Alexandria database).

Calculated values
Density (kg/m3): 2490

abc: 8.4165 6.0747 9.1734
angles: 58.67 58.08 24.94
Atoms (fractional coordinates):
I 0.7210 0.8532 0.3035
S 0.4678 0.1351 0.8299
Al 0.8714 0.3355 0.5954
S 0.9111 0.3812 0.8001
S 0.5387 0.4130 0.5968

***

ii:
# AlS3I

An optimized crystal structure of AlS3I (PBE, the Alexandria database).

Calculated values
Density (kg/m3): 4042

abc: 4.6838 4.6838 4.6838
angles: 90.00 90.00 90.00
Atoms (fractional coordinates):
I 0.5000 0.5000 0.5000
Al 0.0000 0.0000 0.0000
S 0.0000 0.5000 0.0000
S 0.0000 0.0000 0.5000
S 0.5000 0.0000 0.0000

***

Most stable: i. Least stable: ii.